KTl2In2 | the Alexandria database | PBE-GGA | optimized geometry; space group = P4/mmm; size of the total moment = 0.000 μB/f.u.; E_tot = -2.3207 eV/atom; energy of formation from the pure elements = -0.30 eV/f.u.; crystal system = tetragonal; theoretical density = 6.73 g cm⁻³
1.0
-2.672 1.997 -3.253
-2.357 -3.986 -0.510
-4.961 2.236 5.448
K Tl In
1 2 2
Direct
0.000 0.000 0.000
0.500 0.500 0.775
0.500 0.500 0.225
0.500 0.000 0.500
0.000 0.500 0.500

Sr3CoNi | the Alexandria database | PBE-GGA | optimized geometry; space group = Pm-3m; size of the total moment = 1.677 μB/f.u.; E_tot = -3.0130 eV/atom; energy of formation from the pure elements = 2.87 eV/f.u.; crystal system = cubic; theoretical density = 3.53 g cm⁻³
1.0
-0.317 1.558 -5.404
5.272 -1.803 -0.829
-1.959 -5.105 -1.357
Sr Co Ni
3 1 1
Direct
0.000 0.500 0.000
0.000 0.000 0.500
0.500 0.000 0.000
0.500 0.500 0.500
0.000 0.000 0.000

PmSm2Pb | the Alexandria database | PBE-GGA | optimized geometry; space group = P4/mmm; size of the total moment = 0.000 μB/f.u.; E_tot = -4.8002 eV/atom; energy of formation from the pure elements = -1.30 eV/f.u.; crystal system = tetragonal; theoretical density = 8.95 g cm⁻³
1.0
4.944 0.000 0.000
0.000 4.951 0.000
0.000 0.000 4.951
Pb Sm Pm
1 2 1
Direct
0.500 0.000 0.000
0.000 0.000 0.500
0.000 0.500 0.000
0.500 0.500 0.500

Hf3ReAs | the Alexandria database | PBE-GGA | optimized geometry; space group = Pm-3m; size of the total moment = 0.824 μB/f.u.; E_tot = -8.7462 eV/atom; energy of formation from the pure elements = 3.23 eV/f.u.; crystal system = cubic; theoretical density = 11.74 g cm⁻³
1.0
-0.310 3.320 -3.494
-3.995 1.781 2.047
2.696 3.022 2.632
Re As Hf
1 1 3
Direct
0.500 0.500 0.500
0.000 0.000 0.000
0.000 0.500 0.000
0.000 0.000 0.500
0.500 0.000 0.000

PrScSi | the Alexandria database | PBE-GGA | optimized geometry; space group = P4/nmm; size of the total moment = 1.138 μB/f.u.; E_tot = -6.1099 eV/atom; uncorrected formation energy = -1.80 eV/f.u.; crystal system = tetragonal; theoretical density = 4.80 g cm⁻³
1.0
4.331 0.000 0.000
0.000 4.331 0.000
0.000 0.000 7.897
Pr Sc Si
2 2 2
Direct
0.000 0.500 0.855
0.500 0.000 0.145
0.500 0.500 0.500
0.000 0.000 0.500
0.000 0.500 0.266
0.500 0.000 0.734

LiDyNbN3 | the Alexandria database | PBE-GGA | optimized geometry; space group = P2_1/m; size of the total moment = 0.000 μB/f.u.; E_tot = -7.9291 eV/atom; uncorrected formation energy = -6.01 eV/f.u.; crystal system = monoclinic; theoretical density = 7.15 g cm⁻³
1.0
3.187 0.000 0.000
0.000 6.679 0.499
0.000 -2.059 6.486
Li Dy Nb N
2 2 2 6
Direct
0.250 0.078 0.587
0.750 0.922 0.413
0.750 0.800 0.773
0.250 0.200 0.227
0.250 0.672 0.187
0.750 0.328 0.813
0.250 0.782 0.481
0.750 0.871 0.133
0.750 0.444 0.168
0.750 0.218 0.519
0.250 0.556 0.832
0.250 0.129 0.867

Question: Number 4 is which compound?
Answer: Hf3ReAs